Here is an optimized crystal structure of LuTh2Tl from Alexandria. Energies are from GGA-PBE.

The structure in POSCAR format:
```
LuTh2Tl
1.0
4.2262 0.0000 0.0000
0.0000 4.2262 0.0000
0.0000 0.0000 6.8604
Tl Lu Th
1 1 2
Direct
0.5000 0.5000 0.0000 Tl
0.5000 0.5000 0.5000 Lu
0.0000 0.0000 0.7622 Th
0.0000 0.0000 0.2378 Th
```

Size of the total moment ... 0.000 Bohr magnetons per cell
Energy relative to the elements ... 0.025 eV per atom